# 1
VASP calculation (PBE) on an optimized crystal structure of LuZrBeTc.

It has space group F-43m (No. 216), with a = 6.611 Å, b = 6.611 Å, c = 6.611 Å, α = 90.00°, β = 90.00° and γ = 90.00°. Symmetry generates all atoms from Lu at (0.000, 0.000, 0.000), Zr at (0.000, 0.000, 0.500), Be at (0.250, 0.250, 0.250) and Tc at (0.250, 0.250, 0.750).

The energy of formation comes out at -0.1037 eV per atom. As for the calculated density: 8.58 Mg/m³.

***

# 2
VASP calculation (PBE) on an optimized crystal structure of Lu2ThBe.

It has space group P4/mmm (No. 123), with a = 3.404 Å, b = 3.404 Å, c = 8.494 Å, α = 90.00°, β = 90.00° and γ = 90.00°. Symmetry generates all atoms from Lu at (0.000, 0.000, 0.193), Th at (0.500, 0.500, 0.500) and Be at (0.500, 0.500, 0.000).

The energy of formation comes out at 0.0641 eV per atom. As for the calculated density: 9.97 Mg/m³.

***

# 3
VASP calculation (PBE) on an optimized crystal structure of LuTh2Be.

It has space group P4/mmm (No. 123), with a = 3.488 Å, b = 3.488 Å, c = 8.694 Å, α = 90.00°, β = 90.00° and γ = 90.00°. Symmetry generates all atoms from Lu at (0.000, 0.000, 0.000), Th at (0.500, 0.500, 0.303) and Be at (0.000, 0.000, 0.500).

The energy of formation comes out at 0.1578 eV per atom. As for the calculated density: 10.17 Mg/m³.

***

# 4
VASP calculation (PBE) on an optimized crystal structure of LuTiBe2.

It has space group P4/mmm (No. 123), with a = 3.133 Å, b = 3.133 Å, c = 6.213 Å, α = 90.00°, β = 90.00° and γ = 90.00°. Symmetry generates all atoms from Lu at (0.000, 0.000, 0.000), Ti at (0.000, 0.000, 0.500) and Be at (0.500, 0.500, 0.298).

The energy of formation comes out at -0.0134 eV per atom. As for the calculated density: 6.56 Mg/m³. Its energy above the most stable polymorph in this dataset is 0 meV/atom.

***

# 5
VASP calculation (PBE) on an optimized crystal structure of LuTiBe4.

It has space group F-43m (No. 216), with a = 6.720 Å, b = 6.720 Å, c = 6.720 Å, α = 90.00°, β = 90.00° and γ = 90.00°. Symmetry generates all atoms from Lu at (0.000, 0.000, 0.000), Ti at (0.250, 0.250, 0.250) and Be at (0.122, 0.122, 0.622).

The energy of formation comes out at -0.0139 eV per atom. As for the calculated density: 5.67 Mg/m³.

***

# 6
VASP calculation (PBE) on an optimized crystal structure of LuTiBe2.

It has space group Fm-3m (No. 225), with a = 6.271 Å, b = 6.271 Å, c = 6.271 Å, α = 90.00°, β = 90.00° and γ = 90.00°. Symmetry generates all atoms from Lu at (0.000, 0.000, 0.000), Ti at (0.000, 0.000, 0.500) and Be at (0.250, 0.250, 0.250).

The energy of formation comes out at 0.0774 eV per atom. As for the calculated density: 6.49 Mg/m³. Its energy above the most stable polymorph in this dataset is 91 meV/atom.

***

What did the first record say?
VASP calculation (PBE) on an optimized crystal structure of LuZrBeTc.

It has space group F-43m (No. 216), with a = 6.611 Å, b = 6.611 Å, c = 6.611 Å, α = 90.00°, β = 90.00° and γ = 90.00°. Symmetry generates all atoms from Lu at (0.000, 0.000, 0.000), Zr at (0.000, 0.000, 0.500), Be at (0.250, 0.250, 0.250) and Tc at (0.250, 0.250, 0.750).

The energy of formation comes out at -0.1037 eV per atom. As for the calculated density: 8.58 Mg/m³.